Density functional theory data (PBE with a Hubbard U) for an optimized crystal structure of PmFeBrF4.

Cell and atoms, written as POSCAR:
```
PmFeBrF4
1.0
-5.990 -3.145 -1.279
-1.774 -6.644 0.321
-3.207 -0.630 7.074
F Pm Br Fe
8 2 2 2
direct
0.912 0.437 0.903 F
0.709 0.709 0.430 F
0.487 0.487 0.247 F
0.088 0.563 0.097 F
0.437 0.912 0.903 F
0.291 0.291 0.570 F
0.513 0.513 0.753 F
0.563 0.088 0.097 F
0.669 0.669 0.158 Pm
0.331 0.331 0.842 Pm
0.110 0.110 0.315 Br
0.890 0.890 0.685 Br
0.319 0.319 0.309 Fe
0.681 0.681 0.691 Fe
```

Total magnetic moment: 0.56 μB per atom
Total DFT energy (no corrections): -5.735 eV/atom
SG: C2/m, No. 12
V: 134.9 Å³/f.u.